TaPd3Se GGA-PBE relaxed; E = -27.610 eV per cell; formation energy without anion corrections = 0.66 eV per atom; ΔE to the lowest computed polymorph = 0.000 eV per atom; space group = Pm-3m (221); N(E_F) = 3.254 states/eV/f.u.
1.0
-2.731 0.520 3.699
0.034 -4.579 0.668
3.735 0.421 2.699
Ta Pd Se
1 3 1
direct
0.500 0.500 0.500 Ta
0.000 0.000 0.500 Pd
0.500 0.000 0.000 Pd
0.000 0.500 0.000 Pd
0.000 0.000 0.000 Se


MnReBr2 GGA-PBE relaxed; E = -19.858 eV per cell; formation energy without anion corrections = 1.28 eV per atom; ΔE to the lowest computed polymorph = 1.068 eV per atom; space group = F-43m (216); N(E_F) = 1.507 states/eV/f.u.
1.0
-0.902 0.525 4.775
-3.760 -2.357 2.051
0.824 -3.717 3.066
Br Mn Re
2 1 1
direct
0.000 0.000 0.000 Br
0.250 0.250 0.250 Br
0.500 0.500 0.500 Mn
0.750 0.750 0.750 Re


Ta2OsSe GGA-PBE relaxed; E = -37.546 eV per cell; formation energy without anion corrections = 0.22 eV per atom; space group = I-4m2 (119); N(E_F) = 3.973 states/eV/f.u.
1.0
5.425 0.004 0.000
2.788 4.653 0.000
-4.106 -2.329 2.672
Os Ta Se
1 2 1
direct
0.500 0.500 0.000 Os
0.250 0.750 0.500 Ta
0.000 0.000 0.000 Ta
0.750 0.250 0.500 Se


KCrAu2 GGA-PBE relaxed; E = -15.871 eV per cell; ΔE to the lowest computed polymorph = 0.297 eV per atom; energy of formation = 0.35 eV/atom; space group = I-4m2 (119); N(E_F) = 1.014 states/eV/f.u.
1.0
5.592 0.000 0.000
2.261 5.115 0.000
-3.926 -2.557 3.052
Au Cr K
2 1 1
direct
0.000 0.000 0.000 Au
0.250 0.750 0.500 Au
0.500 0.500 0.000 Cr
0.750 0.250 0.500 K